# SrSmEu2 (GGA-PBE, optimized geometry)
data_SrSmEu2
_cell_length_a 4.294
_cell_length_b 6.223
_cell_length_c 6.223
_cell_angle_alpha 90.00
_cell_angle_beta 90.00
_cell_angle_gamma 90.00
_symmetry_space_group_name_H-M 'P 1'
_symmetry_Int_Tables_number 1
_symmetry_space_group_name_Hall 'P 1'
loop_
_atom_site_label
_atom_site_type_symbol
_atom_site_fract_x
_atom_site_fract_y
_atom_site_fract_z
Eu1 Eu 0.000 0.000 0.500
Eu2 Eu 0.000 0.500 0.000
Sr1 Sr 0.500 0.000 0.000
Sm1 Sm 0.500 0.500 0.500
# excess energy over the best structure of this formula in the dataset: 62.6 meV/atom
# space-group type: P4/mmm, No. 123
# D(E_F): 3.51 states/eV per cell
# final energy: -6.6037 eV per atom